Entry 1:
This record from the Open Quantum Materials Database describes a geometry-optimized CsLuTe7P2 structure. The functional is PBE-GGA. Values from VASP.

Results
The value obtained for the final energy is -3.825 eV/atom.

The structure in Quantum ESPRESSO input format:
```
&SYSTEM
  ibrav = 0, nat = 11, ntyp = 4
/
ATOMIC_SPECIES
Cs 132.91 Cs.upf
Lu 174.97 Lu.upf
P 30.97 P.upf
Te 127.60 Te.upf
ATOMIC_POSITIONS crystal
Cs 0.099 0.901 0.000
Lu 0.503 0.497 0.500
P 0.663 0.950 0.411
P 0.050 0.337 0.589
Te 0.641 0.675 0.199
Te 0.558 0.182 0.241
Te 0.124 0.469 0.320
Te 0.999 0.001 0.500
Te 0.531 0.876 0.680
Te 0.818 0.442 0.759
Te 0.325 0.359 0.801
CELL_PARAMETERS angstrom
5.094 -5.763 0.000
5.094 5.763 0.000
-1.314 0.000 7.427
```

---

Entry 2:
This record from the Open Quantum Materials Database describes a geometry-optimized FeTc structure. The functional is PBE-GGA. Values from VASP.

Results
The energy of formation from the pure elements is 1110 meV per atom.

The structure in Quantum ESPRESSO input format:
```
&SYSTEM
  ibrav = 0, nat = 4, ntyp = 2
/
ATOMIC_SPECIES
Fe 55.84 Fe.upf
Tc 98.00 Tc.upf
ATOMIC_POSITIONS crystal
Fe 0.333 0.667 0.455
Fe 0.000 0.000 0.955
Tc 0.000 0.000 0.420
Tc 0.333 0.667 0.920
CELL_PARAMETERS angstrom
1.932 -3.347 0.000
1.932 3.347 0.000
0.000 0.000 5.046
```

---

Entry 3:
This record from the Open Quantum Materials Database describes a geometry-optimized LuScAsO structure. The functional is PBE-GGA. Values from VASP.

Results
For the distance to the lowest polymorph of the same formula, the calculation gives 0.142 eV/atom.

The structure in Quantum ESPRESSO input format:
```
&SYSTEM
  ibrav = 0, nat = 8, ntyp = 4
/
ATOMIC_SPECIES
As 74.92 As.upf
Lu 174.97 Lu.upf
O 16.00 O.upf
Sc 44.96 Sc.upf
ATOMIC_POSITIONS crystal
As 0.000 0.824 0.386
As 0.000 0.176 0.886
Lu 0.500 0.402 0.045
Lu 0.500 0.598 0.545
O 0.500 0.314 0.382
O 0.500 0.686 0.882
Sc 0.000 0.204 0.441
Sc 0.000 0.796 0.941
CELL_PARAMETERS angstrom
-1.740 -3.208 1.527
6.192 -2.477 1.853
-0.480 2.813 5.363
```

---

no.,ρ (g cm⁻³),size of the total moment (μB per formula unit)
1,4.8,0.000
2,7.8,0.000
3,6.2,0.014